No. 1
The following is a DFT calculation (PBE) of crystalline LiPaSnO4 at its relaxed geometry.

Calculated values
energy	-104.8	eV for the cell shown
formation energy from raw total energies	-2.45	eV per atom
magnetic moment	0.00	μB/f.u.
symmetry	No. 74

Structure (CIF):
```
data_LiPaSnO4
_chemical_formula_sum 'Li2 Pa2 Sn2 O8'
_cell_length_a 6.9233
_cell_length_b 6.9233
_cell_length_c 6.9233
_cell_angle_alpha 128.37
_cell_angle_beta 116.25
_cell_angle_gamma 86.39
_symmetry_space_group_name_H-M 'P 1'
_symmetry_Int_Tables_number 1
_symmetry_space_group_name_Hall 'P 1'
loop_
_atom_site_label
_atom_site_fract_x
_atom_site_fract_y
_atom_site_fract_z
_atom_site_occupancy
Li1 0.5000 0.0000 0.0000 1
Li2 0.5000 0.5000 0.5000 1
Pa1 0.0000 0.0000 0.0000 1
Pa2 0.5000 0.0000 0.5000 1
Sn1 0.0796 0.3296 0.7500 1
Sn2 0.9204 0.6704 0.2500 1
O1 0.2291 0.2132 0.4842 1
O2 0.2291 0.7449 0.0158 1
O3 0.2490 0.1976 0.0513 1
O4 0.3537 0.8024 0.5513 1
O5 0.6463 0.1976 0.4487 1
O6 0.7510 0.8024 0.9487 1
O7 0.7709 0.2551 0.9842 1
O8 0.7709 0.7868 0.5158 1
```

No. 2
The following is a DFT calculation (PBE) of crystalline Li4Pa3SnO12 at its relaxed geometry.

Calculated values
energy	-150.3	eV for the cell shown
formation energy from raw total energies	-2.53	eV per atom
magnetic moment	0.62	μB/f.u.
symmetry	No. 155

Structure (CIF):
```
data_Li4Pa3SnO12
_chemical_formula_sum 'Li4 Pa3 Sn1 O12'
_cell_length_a 6.9019
_cell_length_b 6.9019
_cell_length_c 6.9019
_cell_angle_alpha 106.52
_cell_angle_beta 106.52
_cell_angle_gamma 106.52
_symmetry_space_group_name_H-M 'P 1'
_symmetry_Int_Tables_number 1
_symmetry_space_group_name_Hall 'P 1'
loop_
_atom_site_label
_atom_site_fract_x
_atom_site_fract_y
_atom_site_fract_z
_atom_site_occupancy
Li1 0.0000 0.0000 0.0000 1
Li2 0.0000 0.4502 0.5498 1
Li3 0.4502 0.5498 0.0000 1
Li4 0.5498 0.0000 0.4502 1
Pa1 0.0465 0.9535 0.5000 1
Pa2 0.5000 0.0465 0.9535 1
Pa3 0.9535 0.5000 0.0465 1
Sn1 0.5000 0.5000 0.5000 1
O1 0.0000 0.6142 0.3858 1
O2 0.0000 0.8396 0.1604 1
O3 0.1604 0.0000 0.8396 1
O4 0.1983 0.2932 0.5207 1
O5 0.2932 0.5207 0.1983 1
O6 0.3858 0.0000 0.6142 1
O7 0.4793 0.7068 0.8017 1
O8 0.5207 0.1983 0.2932 1
O9 0.6142 0.3858 0.0000 1
O10 0.7068 0.8017 0.4793 1
O11 0.8017 0.4793 0.7068 1
O12 0.8396 0.1604 0.0000 1
```

No. 3
The following is a DFT calculation (PBE) of crystalline Li2PaSnO6 at its relaxed geometry.

Calculated values
energy	-69.9	eV for the cell shown
formation energy from raw total energies	-2.28	eV per atom
magnetic moment	0.00	μB/f.u.
symmetry	No. 148

Structure (CIF):
```
data_Li2PaSnO6
_chemical_formula_sum 'Li2 Pa1 Sn1 O6'
_cell_length_a 5.8943
_cell_length_b 5.8943
_cell_length_c 5.8943
_cell_angle_alpha 54.02
_cell_angle_beta 54.02
_cell_angle_gamma 54.02
_symmetry_space_group_name_H-M 'P 1'
_symmetry_Int_Tables_number 1
_symmetry_space_group_name_Hall 'P 1'
loop_
_atom_site_label
_atom_site_fract_x
_atom_site_fract_y
_atom_site_fract_z
_atom_site_occupancy
Li1 0.2132 0.2132 0.2132 1
Li2 0.7868 0.7868 0.7868 1
Pa1 0.0000 0.0000 0.0000 1
Sn1 0.5000 0.5000 0.5000 1
O1 0.1162 0.3921 0.7592 1
O2 0.2408 0.8838 0.6079 1
O3 0.3921 0.7592 0.1162 1
O4 0.6079 0.2408 0.8838 1
O5 0.7592 0.1162 0.3921 1
O6 0.8838 0.6079 0.2408 1
```

No. 4
The following is a DFT calculation (PBE) of crystalline LiPaSnO5 at its relaxed geometry.

Calculated values
energy	-117.5	eV for the cell shown
formation energy from raw total energies	-2.32	eV per atom
magnetic moment	0.00	μB/f.u.
symmetry	No. 15

Structure (CIF):
```
data_LiPaSnO5
_chemical_formula_sum 'Li2 Pa2 Sn2 O10'
_cell_length_a 5.6669
_cell_length_b 5.6669
_cell_length_c 7.9429
_cell_angle_alpha 104.05
_cell_angle_beta 104.05
_cell_angle_gamma 107.40
_symmetry_space_group_name_H-M 'P 1'
_symmetry_Int_Tables_number 1
_symmetry_space_group_name_Hall 'P 1'
loop_
_atom_site_label
_atom_site_fract_x
_atom_site_fract_y
_atom_site_fract_z
_atom_site_occupancy
Li1 0.1885 0.8115 0.7500 1
Li2 0.8115 0.1885 0.2500 1
Pa1 0.5000 0.5000 0.0000 1
Pa2 0.5000 0.5000 0.5000 1
Sn1 0.1307 0.8693 0.2500 1
Sn2 0.8693 0.1307 0.7500 1
O1 0.1174 0.1929 0.4309 1
O2 0.1636 0.4966 0.8054 1
O3 0.1929 0.1174 0.9309 1
O4 0.3598 0.6402 0.2500 1
O5 0.4966 0.1636 0.3054 1
O6 0.5034 0.8364 0.6946 1
O7 0.6402 0.3598 0.7500 1
O8 0.8071 0.8826 0.0691 1
O9 0.8364 0.5034 0.1946 1
O10 0.8826 0.8071 0.5691 1
```

No. 5
The following is a DFT calculation (PBE) of crystalline LiPaSnO6 at its relaxed geometry.

Calculated values
energy	-63.3	eV for the cell shown
formation energy from raw total energies	-2.01	eV per atom
magnetic moment	2.04	μB/f.u.
symmetry	No. 149

Structure (CIF):
```
data_LiPaSnO6
_chemical_formula_sum 'Li1 Pa1 Sn1 O6'
_cell_length_a 5.3109
_cell_length_b 5.3109
_cell_length_c 4.8450
_cell_angle_alpha 90.00
_cell_angle_beta 90.00
_cell_angle_gamma 120.00
_symmetry_space_group_name_H-M 'P 1'
_symmetry_Int_Tables_number 1
_symmetry_space_group_name_Hall 'P 1'
loop_
_atom_site_label
_atom_site_fract_x
_atom_site_fract_y
_atom_site_fract_z
_atom_site_occupancy
Li1 0.0000 0.0000 0.0000 1
Pa1 0.6667 0.3333 0.5000 1
Sn1 0.3333 0.6667 0.0000 1
O1 0.0048 0.3449 0.2381 1
O2 0.0048 0.6599 0.7619 1
O3 0.3401 0.3449 0.7619 1
O4 0.3401 0.9952 0.2381 1
O5 0.6551 0.6599 0.2381 1
O6 0.6551 0.9952 0.7619 1
```

No. 6
The following is a DFT calculation (PBE) of crystalline LiPa2SnO8 at its relaxed geometry.

Calculated values
energy	-96.4	eV for the cell shown
formation energy from raw total energies	-2.65	eV per atom
magnetic moment	0.00	μB/f.u.
symmetry	No. 65

Structure (CIF):
```
data_LiPa2SnO8
_chemical_formula_sum 'Li1 Pa2 Sn1 O8'
_cell_length_a 4.8425
_cell_length_b 4.8425
_cell_length_c 7.1402
_cell_angle_alpha 90.00
_cell_angle_beta 90.00
_cell_angle_gamma 90.15
_symmetry_space_group_name_H-M 'P 1'
_symmetry_Int_Tables_number 1
_symmetry_space_group_name_Hall 'P 1'
loop_
_atom_site_label
_atom_site_fract_x
_atom_site_fract_y
_atom_site_fract_z
_atom_site_occupancy
Li1 0.0000 0.0000 0.0000 1
Pa1 0.5000 0.5000 0.2446 1
Pa2 0.5000 0.5000 0.7554 1
Sn1 0.0000 0.0000 0.5000 1
O1 0.1951 0.8049 0.2730 1
O2 0.1951 0.8049 0.7270 1
O3 0.3043 0.3043 0.5000 1
O4 0.3105 0.3105 0.0000 1
O5 0.6895 0.6895 0.0000 1
O6 0.6957 0.6957 0.5000 1
O7 0.8049 0.1951 0.2730 1
O8 0.8049 0.1951 0.7270 1
```

No. 7
The following is a DFT calculation (PBE) of crystalline LiPaSn2O8 at its relaxed geometry.

Calculated values
energy	-79.1	eV for the cell shown
formation energy from raw total energies	-1.67	eV per atom
magnetic moment	2.01	μB/f.u.
symmetry	No. 119

Structure (CIF):
```
data_LiPaSn2O8
_chemical_formula_sum 'Li1 Pa1 Sn2 O8'
_cell_length_a 6.1932
_cell_length_b 6.1932
_cell_length_c 6.1932
_cell_angle_alpha 108.87
_cell_angle_beta 108.87
_cell_angle_gamma 110.68
_symmetry_space_group_name_H-M 'P 1'
_symmetry_Int_Tables_number 1
_symmetry_space_group_name_Hall 'P 1'
loop_
_atom_site_label
_atom_site_fract_x
_atom_site_fract_y
_atom_site_fract_z
_atom_site_occupancy
Li1 0.0000 0.0000 0.0000 1
Pa1 0.2500 0.7500 0.5000 1
Sn1 0.5000 0.5000 0.0000 1
Sn2 0.7500 0.2500 0.5000 1
O1 0.3329 0.1174 0.7845 1
O2 0.3329 0.5484 0.2155 1
O3 0.3528 0.0508 0.3019 1
O4 0.4516 0.6671 0.7845 1
O5 0.7489 0.0508 0.6981 1
O6 0.8826 0.6671 0.2155 1
O7 0.9492 0.2511 0.3019 1
O8 0.9492 0.6472 0.6981 1
```

No. 8
The following is a DFT calculation (PBE) of crystalline Sr2Li2PaO6 at its relaxed geometry.

Calculated values
energy	-75.1	eV for the cell shown
formation energy from raw total energies	-2.61	eV per atom
magnetic moment	0.00	μB/f.u.
symmetry	No. 162

Structure (CIF):
```
data_Sr2Li2PaO6
_chemical_formula_sum 'Sr2 Li2 Pa1 O6'
_cell_length_a 5.6095
_cell_length_b 5.6095
_cell_length_c 5.6874
_cell_angle_alpha 90.00
_cell_angle_beta 90.00
_cell_angle_gamma 120.00
_symmetry_space_group_name_H-M 'P 1'
_symmetry_Int_Tables_number 1
_symmetry_space_group_name_Hall 'P 1'
loop_
_atom_site_label
_atom_site_fract_x
_atom_site_fract_y
_atom_site_fract_z
_atom_site_occupancy
Sr1 0.3333 0.6667 0.0000 1
Sr2 0.6667 0.3333 0.0000 1
Li1 0.3333 0.6667 0.5000 1
Li2 0.6667 0.3333 0.5000 1
Pa1 0.0000 0.0000 0.5000 1
O1 0.0000 0.3271 0.2914 1
O2 0.0000 0.6729 0.7086 1
O3 0.3271 0.0000 0.2914 1
O4 0.3271 0.3271 0.7086 1
O5 0.6729 0.0000 0.7086 1
O6 0.6729 0.6729 0.2914 1
```

No. 9
The following is a DFT calculation (PBE) of crystalline Sr2LiPaO6 at its relaxed geometry.

Calculated values
energy	-69.5	eV for the cell shown
formation energy from raw total energies	-2.50	eV per atom
magnetic moment	1.96	μB/f.u.
symmetry	No. 123

Structure (CIF):
```
data_Sr2LiPaO6
_chemical_formula_sum 'Sr2 Li1 Pa1 O6'
_cell_length_a 4.2344
_cell_length_b 4.2344
_cell_length_c 8.5470
_cell_angle_alpha 90.00
_cell_angle_beta 90.00
_cell_angle_gamma 90.00
_symmetry_space_group_name_H-M 'P 1'
_symmetry_Int_Tables_number 1
_symmetry_space_group_name_Hall 'P 1'
loop_
_atom_site_label
_atom_site_fract_x
_atom_site_fract_y
_atom_site_fract_z
_atom_site_occupancy
Sr1 0.0000 0.0000 0.1930 1
Sr2 0.0000 0.0000 0.8070 1
Li1 0.5000 0.5000 0.0000 1
Pa1 0.5000 0.5000 0.5000 1
O1 0.0000 0.5000 0.0000 1
O2 0.0000 0.5000 0.5000 1
O3 0.5000 0.0000 0.0000 1
O4 0.5000 0.0000 0.5000 1
O5 0.5000 0.5000 0.2543 1
O6 0.5000 0.5000 0.7457 1
```

No. 10
The following is a DFT calculation (PBE) of crystalline Sr2Li3PaO6 at its relaxed geometry.

Calculated values
energy	-79.8	eV for the cell shown
formation energy from raw total energies	-2.62	eV per atom
magnetic moment	0.00	μB/f.u.
symmetry	No. 123

Structure (CIF):
```
data_Sr2Li3PaO6
_chemical_formula_sum 'Sr2 Li3 Pa1 O6'
_cell_length_a 3.7523
_cell_length_b 3.7523
_cell_length_c 11.5572
_cell_angle_alpha 90.00
_cell_angle_beta 90.00
_cell_angle_gamma 90.00
_symmetry_space_group_name_H-M 'P 1'
_symmetry_Int_Tables_number 1
_symmetry_space_group_name_Hall 'P 1'
loop_
_atom_site_label
_atom_site_fract_x
_atom_site_fract_y
_atom_site_fract_z
_atom_site_occupancy
Sr1 0.0000 0.0000 0.2071 1
Sr2 0.0000 0.0000 0.7929 1
Li1 0.5000 0.5000 0.0000 1
Li2 0.5000 0.5000 0.3372 1
Li3 0.5000 0.5000 0.6628 1
Pa1 0.0000 0.0000 0.5000 1
O1 0.0000 0.5000 0.3845 1
O2 0.0000 0.5000 0.6155 1
O3 0.5000 0.0000 0.3845 1
O4 0.5000 0.0000 0.6155 1
O5 0.5000 0.5000 0.1557 1
O6 0.5000 0.5000 0.8443 1
```